(1)
Below is a relaxed Dy4GaIr4 crystal, with properties calculated at the PBE-GGA level.

**SG**: P4_2/n (86)
**Energy of formation**: -0.674 eV per atom
**V**: 22.42 Å³/atom

abc: 5.5776 8.5061 8.5061
angles: 90.00 90.00 90.00
Element x y z (fractional)
Dy (0.1140, 0.5530, 0.1813)
Dy (0.1140, 0.9470, 0.3187)
Dy (0.6140, 0.8187, 0.0530)
Dy (0.6140, 0.6813, 0.4470)
Dy (0.8860, 0.4470, 0.8187)
Dy (0.8860, 0.0530, 0.6813)
Dy (0.3860, 0.1813, 0.9470)
Dy (0.3860, 0.3187, 0.5530)
Ga (0.7500, 0.2500, 0.2500)
Ga (0.2500, 0.7500, 0.7500)
Ir (0.1135, 0.6340, 0.5041)
Ir (0.1135, 0.8660, 0.9959)
Ir (0.6135, 0.4959, 0.1340)
Ir (0.6135, 0.0041, 0.3660)
Ir (0.8865, 0.3660, 0.4959)
Ir (0.8865, 0.1340, 0.0041)
Ir (0.3865, 0.5041, 0.8660)
Ir (0.3865, 0.9959, 0.6340)

(2)
Below is a relaxed Hf3CdTe crystal, with properties calculated at the PBE-GGA level.

**SG**: Pm-3m (221)
**Relative energy among the computed polymorphs**: 0.00 eV per formula unit
**V**: 28.29 Å³/atom

abc: 5.2101 5.2101 5.2101
angles: 90.00 90.00 90.00
Element x y z (fractional)
Te (0.0000, 0.0000, 0.0000)
Hf (0.0000, 0.5000, 0.0000)
Hf (0.0000, 0.0000, 0.5000)
Hf (0.5000, 0.0000, 0.0000)
Cd (0.5000, 0.5000, 0.5000)

(3)
Below is a relaxed SrCuSN2 crystal, with properties calculated at the PBE-GGA level.

**SG**: P4/mmm (123)
**Relative energy among the computed polymorphs**: 5.85 eV per formula unit
**V**: 27.02 Å³/atom

abc: 4.7968 4.7968 5.8725
angles: 90.00 90.00 90.00
Last column: magnetic moment on the atom in μB.
Element x y z (fractional)
Sr (0.0000, 0.0000, 0.0000)  0.06
S (0.0000, 0.0000, 0.5000)  0.30
Cu (0.5000, 0.5000, 0.5000)  0.11
N (0.0000, 0.5000, 0.0000)  1.45
N (0.5000, 0.0000, 0.0000)  1.45

(4)
Below is a relaxed FeBC2 crystal, with properties calculated at the PBE-GGA level.

**SG**: R3m (160)
**Energy of formation**: 0.300 eV per atom
**V**: 7.33 Å³/atom

abc: 2.6744 2.6744 14.2063
angles: 90.00 90.00 120.00
Last column: magnetic moment on the atom in μB.
Element x y z (fractional)
C (0.0000, 0.0000, 0.0919)  -0.01
C (0.3333, 0.6667, 0.7586)  -0.01
C (0.6667, 0.3333, 0.4253)  -0.01
C (0.0000, 0.0000, 0.9891)  0.00
C (0.3333, 0.6667, 0.6557)  0.00
C (0.6667, 0.3333, 0.3224)  0.00
B (0.0000, 0.0000, 0.2937)  0.00
B (0.3333, 0.6667, 0.9603)  0.00
B (0.6667, 0.3333, 0.6270)  0.00
Fe (0.0000, 0.0000, 0.8422)  0.07
Fe (0.3333, 0.6667, 0.5089)  0.07
Fe (0.6667, 0.3333, 0.1755)  0.07